NaLa2MnO after structural relaxation. Source: the Alexandria database, functional GGA+U.

```
5
Lattice="5.296 0.000 0.000 0.000 5.296 0.000 0.000 0.000 4.323" Properties=species:S:1:pos:R:3 pbc="T T T"
Na 0.000 0.000 0.000
La 0.000 2.648 2.161
La 2.648 0.000 2.161
Mn 2.648 2.648 0.000
O 2.648 2.648 2.161
```

Final energy in eV per cell: -27.00
Crystal system: tetragonal
Symmetry: P4/mmm